Entry 1:
Crystalline TbCePm2Y at its relaxed geometry, computed with PBE.

Values from the calculation:
DOS at the Fermi energy = 2.152 states/eV/atom
size of the total moment = 0.3027 μB per atom
energy relative to the elements = 1.44 eV/f.u.

Cell and atoms, written as CIF:
```
data_TbCePm2Y
_chemical_formula_sum 'Tb2 Ce2 Pm4 Y2'
_symmetry_space_group_name_H-M 'P m m a'
_symmetry_Int_Tables_number 51
_cell_length_a 5.993
_cell_length_b 7.693
_cell_length_c 7.233
_cell_angle_alpha 90.00
_cell_angle_beta 90.00
_cell_angle_gamma 90.00
loop_
_symmetry_equiv_pos_as_xyz
'x,y,z'
'-x,-y,-z'
'-x+1/2,-y,z'
'x+1/2,y,-z'
'x+1/2,-y,-z'
'-x+1/2,y,z'
'-x,y,-z'
'x,-y,z'
loop_
_atom_site_label
_atom_site_fract_x
_atom_site_fract_y
_atom_site_fract_z
Tb1 0.250 0.000 0.153
Ce1 0.000 0.500 0.000
Pm1 0.250 0.207 0.687
Y1 0.250 0.500 0.391
```

---

Entry 2:
Crystalline Tb3CePm6Y2 at its relaxed geometry, computed with PBE.

Values from the calculation:
DOS at the Fermi energy = 1.666 states/eV/atom
size of the total moment = 0.1136 μB per atom
energy relative to the elements = 0.44 eV/f.u.

Cell and atoms, written as CIF:
```
data_Tb3CePm6Y2
_chemical_formula_sum 'Tb6 Ce2 Pm12 Y4'
_symmetry_space_group_name_H-M 'C 1 2/m 1'
_symmetry_Int_Tables_number 12
_cell_length_a 6.259
_cell_length_b 10.842
_cell_length_c 11.933
_cell_angle_alpha 90.00
_cell_angle_beta 100.08
_cell_angle_gamma 90.00
loop_
_symmetry_equiv_pos_as_xyz
'x,y,z'
'-x,-y,-z'
'-x,y,-z'
'x,-y,z'
'x+1/2,y+1/2,z'
'-x+1/2,-y+1/2,-z'
'-x+1/2,y+1/2,-z'
'x+1/2,-y+1/2,z'
loop_
_atom_site_label
_atom_site_fract_x
_atom_site_fract_y
_atom_site_fract_z
Tb1 0.000 0.000 0.000
Tb2 0.000 0.333 0.000
Ce1 0.000 0.500 0.500
Pm1 0.248 0.500 0.250
Pm2 0.249 0.335 0.750
Y1 0.000 0.166 0.500
```